This record from Alexandria describes Nd7ZnBr12 after structural relaxation. The functional is PBE.

Cell and atoms, written as POSCAR:
```
Nd7ZnBr12
1.0
7.688 4.439 3.364
-7.688 4.439 3.364
0.000 -8.877 3.364
Nd Zn Br
7 1 12
direct
0.000 0.000 0.000 Nd
0.167 0.382 0.459 Nd
0.382 0.459 0.167 Nd
0.459 0.167 0.382 Nd
0.541 0.833 0.618 Nd
0.618 0.541 0.833 Nd
0.833 0.618 0.541 Nd
0.500 0.500 0.500 Zn
0.023 0.340 0.106 Br
0.106 0.023 0.340 Br
0.192 0.725 0.576 Br
0.275 0.424 0.808 Br
0.340 0.106 0.023 Br
0.424 0.808 0.275 Br
0.576 0.192 0.725 Br
0.660 0.894 0.977 Br
0.725 0.576 0.192 Br
0.808 0.275 0.424 Br
0.894 0.977 0.660 Br
0.977 0.660 0.894 Br
```

## Properties
total magnetization: 0.00 μB per formula unit
uncorrected energy: -4.29 eV/atom
energy relative to the elements, uncorrected: -1556 meV per atom
SG: R-3, No. 148

---

This record from Alexandria describes Ta2TcSe after structural relaxation. The functional is PBE.

Cell and atoms, written as POSCAR:
```
Ta2TcSe
1.0
6.457 0.000 0.000
0.000 6.457 0.000
0.000 0.000 6.457
Ta Tc Se
8 4 4
direct
0.000 0.000 0.000 Ta
0.000 0.500 0.500 Ta
0.250 0.250 0.250 Ta
0.250 0.750 0.750 Ta
0.500 0.000 0.500 Ta
0.500 0.500 0.000 Ta
0.750 0.250 0.750 Ta
0.750 0.750 0.250 Ta
0.000 0.000 0.500 Tc
0.000 0.500 0.000 Tc
0.500 0.000 0.000 Tc
0.500 0.500 0.500 Tc
0.250 0.250 0.750 Se
0.250 0.750 0.250 Se
0.750 0.250 0.250 Se
0.750 0.750 0.750 Se
```

## Properties
total magnetization: 0.00 μB per formula unit
uncorrected energy: -9.05 eV/atom
energy relative to the elements, uncorrected: 335 meV per atom
SG: F-43m, No. 216

---

This record from Alexandria describes La2SmGa3Pt4 after structural relaxation. The functional is PBE.

Cell and atoms, written as POSCAR:
```
La2SmGa3Pt4
1.0
4.362 0.000 0.000
0.000 4.362 0.000
0.000 0.000 11.351
La Sm Ga Pt
2 1 3 4
direct
0.000 0.500 0.226 La
0.500 0.000 0.774 La
0.000 0.000 0.500 Sm
0.000 0.500 0.882 Ga
0.500 0.000 0.118 Ga
0.500 0.500 0.500 Ga
0.000 0.000 0.000 Pt
0.000 0.500 0.661 Pt
0.500 0.000 0.339 Pt
0.500 0.500 0.000 Pt
```

## Properties
total magnetization: 0.00 μB per formula unit
uncorrected energy: -5.76 eV/atom
E_form: -0.9819 eV per atom
SG: P-4m2, No. 115

---

This record from Alexandria describes ScTlZn after structural relaxation. The functional is PBE.

Cell and atoms, written as POSCAR:
```
ScTlZn
1.0
3.446 0.000 0.000
-1.723 2.985 0.000
0.000 0.000 6.642
Sc Tl Zn
1 1 1
direct
0.000 0.000 0.000 Sc
0.667 0.333 0.363 Tl
0.333 0.667 0.689 Zn
```

## Properties
total magnetization: 0.00 μB per formula unit
uncorrected energy: -3.32 eV/atom
E_form: -0.0002 eV per atom
SG: P3m1, No. 156

---

This record from Alexandria describes Cr2NiHRu after structural relaxation. The functional is PBE.

Cell and atoms, written as POSCAR:
```
Cr2NiHRu
1.0
3.699 0.000 0.000
0.000 3.699 0.000
0.000 0.000 3.648
Cr Ni H Ru
2 1 1 1
direct
0.000 0.500 0.000 Cr
0.500 0.000 0.000 Cr
0.000 0.000 0.500 Ni
0.000 0.000 0.000 H
0.500 0.500 0.500 Ru
```

## Properties
total magnetization: 0.00 μB per formula unit
uncorrected energy: -7.50 eV/atom
offset from the most stable computed form: 0 meV/atom
SG: P4/mmm, No. 123

---

This record from Alexandria describes Ti5Co4Pt after structural relaxation. The functional is PBE.

Cell and atoms, written as POSCAR:
```
Ti5Co4Pt
1.0
2.891 0.000 0.000
0.000 2.891 0.000
0.000 0.000 16.303
Ti Co Pt
5 4 1
direct
0.000 0.000 0.000 Ti
0.000 0.000 0.190 Ti
0.000 0.000 0.382 Ti
0.000 0.000 0.618 Ti
0.000 0.000 0.810 Ti
0.500 0.500 0.095 Co
0.500 0.500 0.282 Co
0.500 0.500 0.718 Co
0.500 0.500 0.905 Co
0.500 0.500 0.500 Pt
```

## Properties
total magnetization: 1.60 μB per formula unit
uncorrected energy: -7.87 eV/atom
E_form: -0.4759 eV per atom
SG: P4/mmm, No. 123

---

This record from Alexandria describes Ac4RhSBr2 after structural relaxation. The functional is PBE.

Cell and atoms, written as POSCAR:
```
Ac4RhSBr2
1.0
7.806 0.000 0.000
0.000 4.233 0.000
-2.493 0.000 7.979
Ac Rh S Br
4 1 1 2
direct
0.220 0.000 0.201 Ac
0.265 0.500 0.792 Ac
0.735 0.500 0.208 Ac
0.780 0.000 0.799 Ac
0.000 0.500 0.000 Rh
0.500 0.000 0.000 S
0.000 0.000 0.500 Br
0.500 0.500 0.500 Br
```

## Properties
total magnetization: 0.00 μB per formula unit
uncorrected energy: -5.23 eV/atom
energy relative to the elements, uncorrected: -1325 meV per atom
SG: P2/m, No. 10

---

This record from Alexandria describes Tm2PuMn after structural relaxation. The functional is PBE.

Cell and atoms, written as POSCAR:
```
Tm2PuMn
1.0
5.129 0.000 0.000
-2.565 4.442 0.000
0.000 0.000 12.620
Tm Pu Mn
6 3 3
direct
0.000 0.000 0.249 Tm
0.000 0.000 0.751 Tm
0.333 0.667 0.417 Tm
0.333 0.667 0.916 Tm
0.667 0.333 0.084 Tm
0.667 0.333 0.583 Tm
0.000 0.000 0.000 Pu
0.333 0.667 0.667 Pu
0.667 0.333 0.333 Pu
0.000 0.000 0.500 Mn
0.333 0.667 0.167 Mn
0.667 0.333 0.833 Mn
```

## Properties
total magnetization: 3.64 μB per formula unit
uncorrected energy: -7.85 eV/atom
E_form: 0.2619 eV per atom
offset from the most stable computed form: 120 meV/atom
SG: R-3m, No. 166

---

> Look up the total magnetization of the second one.

0.00 μB per formula unit